Material: Hg3ClO2
Method: DFT, PBE
State: optimized geometry

Formation energy without anion corrections   -0.258 eV/atom
ρ   8.35 Mg/m³
Total magnetization   0.0 μB per formula unit

Lattice parameters (Å, degrees): 6.636 3.787 10.594 90.00 90.89 90.00
Space group P2_1/m (No. 11)
One atom of each set of equivalent atoms:
Hg 0.098 0.250 0.131
Hg 0.263 0.250 0.385
Hg 0.400 0.250 0.830
Cl 0.254 0.750 0.572
O 0.120 0.250 0.908
O 0.313 0.750 0.242

---

Material: TmCo4Ir
Method: DFT, PBE
State: optimized geometry

ρ   12.17 Mg/m³
Formation energy from the elements   -0.167 eV/atom
Total magnetization   6.9 μB per formula unit

Lattice parameters (Å, degrees): 6.881 6.881 6.881 90.00 90.00 90.00
Space group F-43m (No. 216)
One atom of each set of equivalent atoms:
Tm 0.000 0.000 0.000
Co 0.125 0.125 0.625
Ir 0.250 0.250 0.250

---

Material: CaNd2Mg
Method: DFT, PBE
State: optimized geometry

ρ   4.31 Mg/m³
Formation energy from the elements   0.090 eV/atom
Total magnetization   0.0 μB per formula unit

Lattice parameters (Å, degrees): 3.6094 3.6094 36.1148 90.00 90.00 120.00
Space group R3m (No. 160, hexagonal axes)
One atom of each set of equivalent atoms:
Ca 0.0000 0.0000 0.0000
Nd 0.0000 0.0000 0.4243
Nd 0.0000 0.0000 0.5764
Mg 0.0000 0.0000 0.1671

---

Material: LiAc2PmS4
Method: DFT, PBE
State: optimized geometry

Formation energy without anion corrections   -1.887 eV/atom
ρ   6.03 Mg/m³
Total magnetization   0.0 μB per formula unit

Lattice parameters (Å, degrees): 7.071 4.181 7.268 90.00 109.88 90.00
Space group P2/m (No. 10)
One atom of each set of equivalent atoms:
Li 0.000 0.000 0.000
Ac 0.500 0.000 0.500
Ac 0.500 0.500 0.000
Pm 0.000 0.500 0.500
S 0.229 0.000 0.748
S 0.229 0.500 0.241

---

Material: Ac2InSnPb
Method: DFT, PBE
State: optimized geometry

ρ   8.62 Mg/m³
Formation energy from the elements   -0.518 eV/atom
Total magnetization   0.0 μB per formula unit

Lattice parameters (Å, degrees): 7.249 4.796 9.914 90.00 90.04 90.00
Space group P2_1/m (No. 11)
One atom of each set of equivalent atoms:
Ac 0.246 0.250 0.471
Ac 0.247 0.250 0.029
In 0.454 0.750 0.250
Sn 0.051 0.750 0.250
Pb 0.263 0.750 0.750

---

Material: TePt2Se
Method: DFT, PBE
State: optimized geometry

Formation energy without anion corrections   0.256 eV/atom
ρ   13.11 Mg/m³
Total magnetization   0.0 μB per formula unit

Lattice parameters (Å, degrees): 4.062 4.062 9.163 90.00 90.00 90.00
Space group I-4m2 (No. 119)
One atom of each set of equivalent atoms:
Te 0.000 0.000 0.000
Pt 0.000 0.000 0.500
Pt 0.000 0.500 0.750
Se 0.000 0.500 0.250